# 1
Entry from the Alexandria database: an optimized crystal structure of NaRe3B (PBE).

Cell lengths 4.188, 4.188, 4.188 Å; angles 90.00, 90.00, 90.00 degrees
Fractional positions:
Re 0.000 0.500 0.000
Re 0.000 0.000 0.500
Re 0.500 0.000 0.000
B 0.000 0.000 0.000
Na 0.500 0.500 0.500

Computed properties:
The total moment comes out at 0.00 μB/atom. Its distance to the lowest polymorph of the same formula is 0.0 meV per atom. As for the density: 13.40 g/cm³. The formation energy is 0.810 eV/atom.

***

# 2
Entry from the Alexandria database: an optimized crystal structure of Tm2BiRu (PBE).

Cell lengths 3.599, 3.599, 9.170 Å; angles 78.68, 78.68, 60.00 degrees
Fractional positions:
Ru 0.000 0.000 0.000
Tm 0.735 0.735 0.796
Tm 0.265 0.265 0.204
Bi 0.500 0.500 0.500

Computed properties:
The total moment comes out at 0.00 μB/atom. Its distance to the lowest polymorph of the same formula is 238.1 meV per atom. As for the density: 10.74 g/cm³. The formation energy is -0.332 eV/atom.

***

- Among the records above, which one has the highest distance to the lowest polymorph of the same formula?
  Tm2BiRu

***

- Among the records above, which one has the lowest distance to the lowest polymorph of the same formula?
  NaRe3B